# In3Hg2, relaxed, DFT GGA-PBE
# DFT formation energy = 1.0 meV/atom
# VASP energy = -1.76 eV per atom
data_In3Hg2
_cell_length_a 12.304
_cell_length_b 12.304
_cell_length_c 12.304
_cell_angle_alpha 16.66
_cell_angle_beta 16.66
_cell_angle_gamma 16.66
_symmetry_space_group_name_H-M 'P 1'
_symmetry_Int_Tables_number 1
_symmetry_space_group_name_Hall 'P 1'
loop_
_atom_site_label
_atom_site_type_symbol
_atom_site_fract_x
_atom_site_fract_y
_atom_site_fract_z
_atom_site_occupancy
In1 In 0.000 0.000 0.000 1
In2 In 0.202 0.202 0.202 1
In3 In 0.798 0.798 0.798 1
Hg1 Hg 0.601 0.601 0.601 1
Hg2 Hg 0.399 0.399 0.399 1

***

# InHg, relaxed, DFT GGA-PBE
# DFT formation energy = 19.5 meV/atom
# VASP energy = -1.50 eV per atom
data_InHg
_cell_length_a 5.723
_cell_length_b 5.723
_cell_length_c 5.723
_cell_angle_alpha 51.95
_cell_angle_beta 51.95
_cell_angle_gamma 51.95
_symmetry_space_group_name_H-M 'P 1'
_symmetry_Int_Tables_number 1
_symmetry_space_group_name_Hall 'P 1'
loop_
_atom_site_label
_atom_site_type_symbol
_atom_site_fract_x
_atom_site_fract_y
_atom_site_fract_z
_atom_site_occupancy
Hg1 Hg 0.376 0.376 0.376 1
Hg2 Hg 0.624 0.624 0.624 1
In1 In 0.119 0.119 0.119 1
In2 In 0.881 0.881 0.881 1

***

# InHg, relaxed, DFT GGA-PBE
# DFT formation energy = 14.7 meV/atom
# VASP energy = -1.51 eV per atom
data_InHg
_cell_length_a 5.990
_cell_length_b 5.990
_cell_length_c 5.990
_cell_angle_alpha 90.00
_cell_angle_beta 90.00
_cell_angle_gamma 90.00
_symmetry_space_group_name_H-M 'P 1'
_symmetry_Int_Tables_number 1
_symmetry_space_group_name_Hall 'P 1'
loop_
_atom_site_label
_atom_site_type_symbol
_atom_site_fract_x
_atom_site_fract_y
_atom_site_fract_z
_atom_site_occupancy
In1 In 0.093 0.407 0.407 1
In2 In 0.907 0.907 0.093 1
In3 In 0.593 0.093 0.593 1
In4 In 0.407 0.593 0.907 1
Hg1 Hg 0.910 0.410 0.910 1
Hg2 Hg 0.410 0.090 0.090 1
Hg3 Hg 0.090 0.910 0.590 1
Hg4 Hg 0.590 0.590 0.410 1

***

# InHg7, relaxed, DFT GGA-PBE
# DFT formation energy = -1.5 meV/atom
# VASP energy = -0.61 eV per atom
data_InHg7
_cell_length_a 6.797
_cell_length_b 6.797
_cell_length_c 6.797
_cell_angle_alpha 60.00
_cell_angle_beta 60.00
_cell_angle_gamma 60.00
_symmetry_space_group_name_H-M 'P 1'
_symmetry_Int_Tables_number 1
_symmetry_space_group_name_Hall 'P 1'
loop_
_atom_site_label
_atom_site_type_symbol
_atom_site_fract_x
_atom_site_fract_y
_atom_site_fract_z
_atom_site_occupancy
Hg1 Hg 0.000 0.500 0.000 1
Hg2 Hg 0.500 0.000 0.000 1
Hg3 Hg 0.000 0.000 0.500 1
Hg4 Hg 0.000 0.500 0.500 1
Hg5 Hg 0.500 0.500 0.000 1
Hg6 Hg 0.500 0.000 0.500 1
Hg7 Hg 0.500 0.500 0.500 1
In1 In 0.000 0.000 0.000 1

***

# InHg, relaxed, DFT GGA-PBE
# DFT formation energy = 291.2 meV/atom
# VASP energy = -1.23 eV per atom
data_InHg
_cell_length_a 8.216
_cell_length_b 8.216
_cell_length_c 8.216
_cell_angle_alpha 90.00
_cell_angle_beta 90.00
_cell_angle_gamma 90.00
_symmetry_space_group_name_H-M 'P 1'
_symmetry_Int_Tables_number 1
_symmetry_space_group_name_Hall 'P 1'
loop_
_atom_site_label
_atom_site_type_symbol
_atom_site_fract_x
_atom_site_fract_y
_atom_site_fract_z
_atom_site_occupancy
In1 In 0.000 0.500 0.750 1
In2 In 0.500 0.750 0.000 1
In3 In 0.000 0.500 0.250 1
In4 In 0.750 0.000 0.500 1
In5 In 0.500 0.250 0.000 1
In6 In 0.250 0.000 0.500 1
Hg1 Hg 0.500 0.000 0.750 1
Hg2 Hg 0.250 0.500 0.000 1
Hg3 Hg 0.000 0.750 0.500 1
Hg4 Hg 0.500 0.000 0.250 1
Hg5 Hg 0.000 0.250 0.500 1
Hg6 Hg 0.750 0.500 0.000 1

***

# InHg, relaxed, DFT GGA-PBE
# DFT formation energy = 8.1 meV/atom
# VASP energy = -1.51 eV per atom
data_InHg
_cell_length_a 3.363
_cell_length_b 6.039
_cell_length_c 8.639
_cell_angle_alpha 106.02
_cell_angle_beta 90.00
_cell_angle_gamma 106.17
_symmetry_space_group_name_H-M 'P 1'
_symmetry_Int_Tables_number 1
_symmetry_space_group_name_Hall 'P 1'
loop_
_atom_site_label
_atom_site_type_symbol
_atom_site_fract_x
_atom_site_fract_y
_atom_site_fract_z
_atom_site_occupancy
In1 In 0.659 0.318 0.317 1
In2 In 0.813 0.625 0.968 1
In3 In 0.978 0.956 0.623 1
Hg1 Hg 0.394 0.789 0.295 1
Hg2 Hg 0.245 0.490 0.644 1
Hg3 Hg 0.078 0.155 0.987 1

***

# InHg6, relaxed, DFT GGA-PBE
# DFT formation energy = 22.9 meV/atom
# VASP energy = -0.63 eV per atom
data_InHg6
_cell_length_a 5.312
_cell_length_b 5.312
_cell_length_c 7.210
_cell_angle_alpha 90.00
_cell_angle_beta 90.00
_cell_angle_gamma 90.00
_symmetry_space_group_name_H-M 'P 1'
_symmetry_Int_Tables_number 1
_symmetry_space_group_name_Hall 'P 1'
loop_
_atom_site_label
_atom_site_type_symbol
_atom_site_fract_x
_atom_site_fract_y
_atom_site_fract_z
_atom_site_occupancy
In1 In 0.000 0.000 0.000 1
Hg1 Hg 0.500 0.000 0.734 1
Hg2 Hg 0.000 0.000 0.500 1
Hg3 Hg 0.500 0.500 0.000 1
Hg4 Hg 0.500 0.000 0.266 1
Hg5 Hg 0.000 0.500 0.266 1
Hg6 Hg 0.000 0.500 0.734 1

***

# In5Hg2, relaxed, DFT GGA-PBE
# DFT formation energy = 34.5 meV/atom
# VASP energy = -2.01 eV per atom
data_In5Hg2
_cell_length_a 6.418
_cell_length_b 7.531
_cell_length_c 8.576
_cell_angle_alpha 90.82
_cell_angle_beta 111.97
_cell_angle_gamma 90.00
_symmetry_space_group_name_H-M 'P 1'
_symmetry_Int_Tables_number 1
_symmetry_space_group_name_Hall 'P 1'
loop_
_atom_site_label
_atom_site_type_symbol
_atom_site_fract_x
_atom_site_fract_y
_atom_site_fract_z
_atom_site_occupancy
Hg1 Hg 0.677 0.885 0.851 1
Hg2 Hg 0.826 0.615 0.149 1
Hg3 Hg 0.174 0.385 0.851 1
Hg4 Hg 0.323 0.115 0.149 1
In1 In 0.176 0.668 0.577 1
In2 In 0.692 0.516 0.716 1
In3 In 0.401 0.168 0.577 1
In4 In 0.599 0.832 0.423 1
In5 In 0.308 0.484 0.284 1
In6 In 0.326 0.750 0.000 1
In7 In 0.975 0.984 0.284 1
In8 In 0.824 0.332 0.423 1
In9 In 0.025 0.016 0.716 1
In10 In 0.674 0.250 0.000 1